A plane-wave DFT calculation with PBE was carried out for a geometry-optimized MgFeP3 structure.

Energy relative to the elements ... 336 meV per atom
Energy relative to the lowest polymorph listed for this composition ... 0 meV per atom
Calculated density ... 3.344 g cm⁻³
Symmetry ... Pm-3m

Unit cell a=4.413 b=4.413 c=4.413 alpha=90.00 beta=90.00 gamma=90.00
Sites, in units of the cell vectors:
P  0.000  0.500  0.000
P  0.000  0.000  0.500
P  0.500  0.000  0.000
Mg  0.500  0.500  0.500
Fe  0.000  0.000  0.000



A plane-wave DFT calculation with PBE was carried out for a geometry-optimized MgFe2P structure.

Energy relative to the elements ... 79 meV per atom
Calculated density ... 5.426 g cm⁻³
Symmetry ... F-43m

Unit cell a=4.165 b=4.165 c=4.165 alpha=60.00 beta=60.00 gamma=60.00
Sites, in units of the cell vectors:
Fe  0.000  0.000  0.000
Fe  0.250  0.250  0.250
Mg  0.500  0.500  0.500
P  0.750  0.750  0.750